(1)
Material: Mn2BiC
Method: DFT, SCAN
State: PBEsol geometry

Lattice parameters (Å, degrees): 6.105 6.105 6.105 90.00 90.00 90.00
Space group Fm-3m (No. 225)
Asymmetric unit:
Mn1 0.250 0.250 0.250
Bi1 0.000 0.000 0.000
C1 0.000 0.000 0.500

Values from the calculation:
Calculated density: 9.658 g cm⁻³
Formation energy: 5.18 eV/f.u.
Calculated volume: 227.5 Å³/cell


(2)
Material: BiMoC3
Method: DFT, SCAN
State: PBEsol geometry

Lattice parameters (Å, degrees): 4.105 4.105 4.105 90.00 90.00 90.00
Space group Pm-3m (No. 221)
Asymmetric unit:
Bi1 0.000 0.000 0.000
Mo1 0.500 0.500 0.500
C1 0.000 0.500 0.500

Values from the calculation:
Calculated density: 8.185 g cm⁻³
Formation energy: 9.52 eV/f.u.
Calculated volume: 69.2 Å³/cell


(3)
Material: BiCN3
Method: DFT, SCAN
State: PBEsol geometry

Lattice parameters (Å, degrees): 3.577 3.577 3.577 90.00 90.00 90.00
Space group Pm-3m (No. 221)
Asymmetric unit:
Bi1 0.000 0.000 0.000
C1 0.500 0.500 0.500
N1 0.000 0.500 0.500

Values from the calculation:
Calculated density: 9.541 g cm⁻³
Raw formation energy: 2.40 eV per atom
Calculated volume: 45.8 Å³/cell


(4)
Material: ScBiCN2
Method: DFT, SCAN
State: PBEsol geometry

Lattice parameters (Å, degrees): 4.118 4.118 4.207 90.00 90.00 90.00
Space group P4/mmm (No. 123)
Asymmetric unit:
Sc1 0.000 0.000 0.000
Bi1 0.500 0.500 0.500
C1 0.000 0.000 0.500
N1 0.000 0.500 0.000

Values from the calculation:
Calculated density: 6.843 g cm⁻³
Raw formation energy: 1.24 eV per atom
Calculated volume: 71.3 Å³/cell


(5)
Material: BiTe2CN
Method: DFT, SCAN
State: PBEsol geometry

Lattice parameters (Å, degrees): 6.642 6.642 2.665 90.00 90.00 90.00
Space group P4/mmm (No. 123)
Asymmetric unit:
Bi1 0.000 0.000 0.000
Te1 0.000 0.500 0.500
C1 0.500 0.500 0.500
N1 0.500 0.500 0.000

Values from the calculation:
Calculated density: 6.924 g cm⁻³
Raw formation energy: 1.06 eV per atom
Calculated volume: 117.6 Å³/cell


(6)
Material: NaBiC3
Method: DFT, SCAN
State: PBEsol geometry

Lattice parameters (Å, degrees): 4.560 4.560 4.560 90.00 90.00 90.00
Space group Pm-3m (No. 221)
Asymmetric unit:
Na1 0.000 0.000 0.000
Bi1 0.500 0.500 0.500
C1 0.000 0.500 0.500

Values from the calculation:
Calculated density: 4.694 g cm⁻³
Formation energy: 15.20 eV/f.u.
Calculated volume: 94.8 Å³/cell


(7)
Material: NaBiC3
Method: DFT, SCAN
State: PBEsol geometry

Lattice parameters (Å, degrees): 4.197 4.197 4.197 90.00 90.00 90.00
Space group Pm-3m (No. 221)
Asymmetric unit:
Na1 0.000 0.000 0.000
Bi1 0.500 0.500 0.500
C1 0.000 0.000 0.500

Values from the calculation:
Calculated density: 6.018 g cm⁻³
Formation energy: 17.39 eV/f.u.
Calculated volume: 73.9 Å³/cell


(8)
Material: Na4Bi2PC4O16
Method: DFT, SCAN
State: PBEsol geometry

Lattice parameters (Å, degrees): 14.055 14.386 15.378 90.00 90.00 90.00
Space group Fddd (No. 70, origin choice 2)
Asymmetric unit:
Na1 0.078 0.375 0.375
Na2 0.125 0.327 0.125
Bi1 0.000 0.000 0.500
P1 0.125 0.125 0.125
C1 0.023 0.027 0.713
O1 0.016 0.088 0.773
O2 0.034 0.278 0.897
O3 0.061 0.062 0.068
O4 0.089 0.287 0.532

Values from the calculation:
Calculated density: 3.610 g cm⁻³
Raw formation energy: -1.62 eV per atom
Calculated volume: 3109.3 Å³/cell


(9)
Material: Na5Bi2PC4O16
Method: DFT, SCAN
State: PBEsol geometry

Lattice parameters (Å, degrees): 14.262 14.504 14.799 90.00 90.00 90.00
Space group F222 (No. 22)
Asymmetric unit:
Na1 0.000 0.000 0.195
Na2 0.000 0.196 0.000
Na3 0.055 0.250 0.750
Na4 0.196 0.000 0.000
Na5 0.250 0.058 0.750
Bi1 0.130 0.126 0.380
P1 0.000 0.000 0.000
P2 0.250 0.250 0.750
C1 0.095 0.091 0.596
C2 0.147 0.148 0.162
O1 0.029 0.153 0.598
O2 0.062 0.062 0.939
O3 0.086 0.146 0.227
O4 0.098 0.028 0.660
O5 0.143 0.212 0.101
O6 0.156 0.089 0.532
O7 0.185 0.186 0.808
O8 0.211 0.085 0.157

Values from the calculation:
Calculated density: 3.766 g cm⁻³
Raw formation energy: -1.70 eV per atom
Calculated volume: 3061.2 Å³/cell


(10)
Material: Na4Bi2C4SO16
Method: DFT, SCAN
State: PBEsol geometry

Lattice parameters (Å, degrees): 14.267 14.518 14.710 90.00 90.00 90.00
Space group F222 (No. 22)
Asymmetric unit:
Na1 0.000 0.000 0.206
Na2 0.000 0.204 0.000
Na3 0.055 0.250 0.250
Na4 0.204 0.000 0.000
Bi1 0.131 0.127 0.623
C1 0.091 0.094 0.408
C2 0.140 0.153 0.846
S1 0.000 0.000 0.000
S2 0.250 0.250 0.250
O1 0.027 0.098 0.345
O2 0.060 0.059 0.059
O3 0.078 0.219 0.851
O4 0.092 0.156 0.471
O5 0.136 0.095 0.780
O6 0.152 0.028 0.409
O7 0.188 0.191 0.192
O8 0.204 0.147 0.907

Values from the calculation:
Calculated density: 3.689 g cm⁻³
Raw formation energy: -1.59 eV per atom
Calculated volume: 3046.7 Å³/cell


(11)
Material: Na4Bi2C4SO16
Method: DFT, SCAN
State: PBEsol geometry

Lattice parameters (Å, degrees): 14.003 14.325 15.380 90.00 90.00 90.00
Space group Fddd (No. 70, origin choice 2)
Asymmetric unit:
Na1 0.077 0.375 0.375
Na2 0.125 0.326 0.125
Bi1 0.000 0.000 0.500
C1 0.023 0.026 0.712
S1 0.125 0.125 0.125
O1 0.016 0.088 0.773
O2 0.035 0.277 0.897
O3 0.063 0.064 0.070
O4 0.089 0.288 0.532

Values from the calculation:
Calculated density: 3.643 g cm⁻³
Raw formation energy: -1.60 eV per atom
Calculated volume: 3085.0 Å³/cell


(12)
Material: NaBiCSO7
Method: DFT, SCAN
State: PBEsol geometry

Lattice parameters (Å, degrees): 5.777 6.723 9.321 90.00 92.41 90.00
Space group P2_1 (No. 4)
Asymmetric unit:
Na1 0.238 0.000 0.196
Bi1 0.225 0.736 0.625
C1 0.264 0.735 0.908
S1 0.261 0.264 0.586
O1 0.062 0.748 0.832
O2 0.079 0.398 0.644
O3 0.200 0.228 0.431
O4 0.264 0.076 0.669
O5 0.282 0.753 0.039
O6 0.442 0.702 0.824
O7 0.487 0.368 0.598

Values from the calculation:
Calculated density: 3.563 g cm⁻³
Raw formation energy: -1.56 eV per atom
Calculated volume: 361.7 Å³/cell


(13)
Material: Na3SiBiCO7
Method: DFT, SCAN
State: PBEsol geometry

Lattice parameters (Å, degrees): 5.135 7.101 9.386 90.00 91.28 90.00
Space group P2_1/m (No. 11)
Asymmetric unit:
Na1 0.225 0.250 0.413
Na2 0.246 0.508 0.750
Si1 0.292 0.250 0.099
Bi1 0.235 0.750 0.131
C1 0.270 0.750 0.445
O1 0.048 0.750 0.375
O2 0.190 0.250 0.928
O3 0.194 0.066 0.189
O4 0.272 0.750 0.582
O5 0.387 0.750 0.905
O6 0.488 0.750 0.377

Values from the calculation:
Calculated density: 4.174 g cm⁻³
Raw formation energy: -2.04 eV per atom
Calculated volume: 342.2 Å³/cell


(14)
Material: NbSnBiC2
Method: DFT, SCAN
State: PBEsol geometry

Lattice parameters (Å, degrees): 4.191 4.191 5.885 90.00 90.00 90.00
Space group P4/mmm (No. 123)
Asymmetric unit:
Nb1 0.000 0.000 0.000
Sn1 0.500 0.500 0.500
Bi1 0.500 0.500 0.000
C1 0.000 0.500 0.500

Values from the calculation:
Calculated density: 7.142 g cm⁻³
Formation energy: 12.43 eV/f.u.
Calculated volume: 103.4 Å³/cell


(15)
Material: Ni2BiC
Method: DFT, SCAN
State: PBEsol geometry

Lattice parameters (Å, degrees): 5.944 5.944 5.944 90.00 90.00 90.00
Space group Fm-3m (No. 225)
Asymmetric unit:
Ni1 0.250 0.250 0.250
Bi1 0.000 0.000 0.000
C1 0.000 0.000 0.500

Values from the calculation:
Calculated density: 10.704 g cm⁻³
Formation energy: 5.75 eV/f.u.
Calculated volume: 210.0 Å³/cell